[1]
{"formula": "Mn2CdBr", "functional": "PBE", "state": "relaxed", "dos_ef_per_ev_cell": 2.85, "crystal_system": "monoclinic", "de_polymorph_mev_per_atom": 218, "e_form_raw_ev_per_fu": 1.71, "cell": [[4.845, 0.000, 0.000], [0.000, 3.248, 0.000], [-2.220, 0.000, 5.147]], "species": ["Mn", "Mn", "Cd", "Br"], "frac_coords": [[0.000, 0.000, 0.000], [0.000, 0.500, 0.500], [0.500, 0.000, 0.500], [0.500, 0.500, 0.000]]}

[2]
{"formula": "V8Si2H3", "functional": "PBE", "state": "relaxed", "dos_ef_per_ev_cell": 11.01, "crystal_system": "monoclinic", "cell": [[6.698, -2.465, 0.000], [6.698, 2.465, 0.000], [-1.454, 0.000, 4.502]], "species": ["V", "V", "V", "V", "V", "V", "V", "V", "Si", "Si", "H", "H", "H"], "frac_coords": [[0.085, 0.085, 0.258], [0.156, 0.656, 0.260], [0.299, 0.299, 0.666], [0.344, 0.844, 0.740], [0.656, 0.156, 0.260], [0.701, 0.701, 0.334], [0.844, 0.344, 0.740], [0.915, 0.915, 0.742], [0.240, 0.240, 0.119], [0.760, 0.760, 0.881], [0.000, 0.000, 0.500], [0.251, 0.749, 0.000], [0.749, 0.251, 0.000]]}

[3]
{"formula": "LiYSi2", "functional": "PBE", "state": "relaxed", "dos_ef_per_ev_cell": 1.84, "crystal_system": "cubic", "de_polymorph_mev_per_atom": 389, "e_form_raw_ev_per_fu": -0.76, "cell": [[0.000, 3.373, 3.373], [3.373, 0.000, 3.373], [3.373, 3.373, 0.000]], "species": ["Li", "Y", "Si", "Si"], "frac_coords": [[0.000, 0.000, 0.000], [0.500, 0.500, 0.500], [0.250, 0.250, 0.250], [0.750, 0.750, 0.750]]}

[4]
{"formula": "SbAs3F", "functional": "PBE", "state": "relaxed", "dos_ef_per_ev_cell": 6.35, "crystal_system": "cubic", "de_polymorph_mev_per_atom": 589, "e_form_raw_ev_per_fu": 4.18, "cell": [[5.291, 0.000, 0.000], [0.000, 5.291, 0.000], [0.000, 0.000, 5.291]], "species": ["Sb", "As", "As", "As", "F"], "frac_coords": [[0.000, 0.000, 0.000], [0.000, 0.000, 0.500], [0.000, 0.500, 0.000], [0.500, 0.000, 0.000], [0.500, 0.500, 0.500]]}

[5]
{"formula": "ZnSe2SBr", "functional": "PBE", "state": "relaxed", "dos_ef_per_ev_cell": 2.66, "crystal_system": "tetragonal", "de_polymorph_mev_per_atom": 0, "e_form_raw_ev_per_fu": 2.46, "cell": [[4.950, 0.000, 0.000], [0.000, 4.950, 0.000], [0.000, 0.000, 4.992]], "species": ["Zn", "Se", "Se", "S", "Br"], "frac_coords": [[0.000, 0.000, 0.000], [0.000, 0.500, 0.500], [0.500, 0.000, 0.500], [0.500, 0.500, 0.500], [0.500, 0.500, 0.000]]}

[6]
{"formula": "GdTmTlOs", "functional": "PBE", "state": "relaxed", "dos_ef_per_ev_cell": 2.89, "crystal_system": "cubic", "cell": [[0.000, 3.575, 3.575], [3.575, 0.000, 3.575], [3.575, 3.575, 0.000]], "species": ["Gd", "Tm", "Tl", "Os"], "frac_coords": [[0.000, 0.000, 0.000], [0.500, 0.500, 0.500], [0.750, 0.750, 0.750], [0.250, 0.250, 0.250]]}

Calculated values (eV for the cell shown) of DFT total energy for the records, taken in order: -19.219; -95.070; -19.986; -15.764; -11.586; -32.726.